Here is a relaxed structure of Na2In6Bi from the Alexandria database. Energies are from GGA-PBE.

Results
M_tot: 0.00 μB/cell
ρ: 6.3 g/cm³
DOS at the Fermi energy: 3.2 states/eV/cell
Energy relative to the elements: -0.7 eV per formula unit

Geometry as POSCAR:
```
Na2In6Bi
1.0
6.908 -2.388 0.000
6.908 2.388 0.000
-2.590 0.000 7.520
Na In Bi
2 6 1
direct
0.055 0.055 0.325
0.945 0.945 0.675
0.169 0.169 0.994
0.272 0.272 0.663
0.381 0.381 0.339
0.619 0.619 0.661
0.728 0.728 0.337
0.831 0.831 0.006
0.500 0.500 0.000
```